VASP calculation (PBE) on a relaxed structure of BaInTc3.

The energy above the most stable polymorph in this dataset is 4.69 eV/f.u. Its total energy is -0.164 Ha/atom. As for the total magnetic moment: 7.57 μB per cell. The calculated formation energy is 2.700 eV/atom.

a = 5.144 Å, b = 5.144 Å, c = 5.144 Å
α = 90.00°, β = 90.00°, γ = 90.00°
Last column: magnetic moment on the atom in μB.
Fractional positions:
Tc 0.000 0.500 0.000  2.29
Tc 0.500 0.000 0.000  2.47
Ba 0.000 0.000 0.000  -0.01
Tc 0.000 0.000 0.500  2.12
In 0.500 0.500 0.500  0.02